(1)
The following is a DFT calculation (PBE) of a relaxed structure of AcIBr.

```
AcIBr
1.0
10.854 0.000 0.000
0.000 4.320 0.000
-9.538 0.000 11.474
Ac I Br
4 4 4
direct
0.000 0.249 0.124 Ac
0.000 0.251 0.624 Ac
0.000 0.749 0.376 Ac
0.000 0.751 0.876 Ac
0.270 0.249 0.583 I
0.270 0.251 0.083 I
0.730 0.749 0.917 I
0.730 0.751 0.417 I
0.231 0.749 0.317 Br
0.231 0.751 0.817 Br
0.769 0.249 0.183 Br
0.769 0.251 0.683 Br
```

Properties
E_form (uncorrected)   -1.492 eV per atom

(2)
The following is a DFT calculation (PBE) of a relaxed structure of Ac2IBr.

```
Ac2IBr
1.0
5.762 0.000 0.000
0.000 5.762 0.000
0.000 0.000 4.039
Ac I Br
2 1 1
direct
0.000 0.500 0.000 Ac
0.500 0.000 0.000 Ac
0.000 0.000 0.500 I
0.500 0.500 0.500 Br
```

Properties
E_form (uncorrected)   -0.845 eV per atom

(3)
The following is a DFT calculation (PBE) of a relaxed structure of Ac2IBr.

```
Ac2IBr
1.0
2.011 1.161 10.285
-2.011 1.161 10.285
0.000 -2.322 10.285
Ac I Br
2 1 1
direct
0.000 0.000 0.000 Ac
0.170 0.170 0.170 Ac
0.418 0.418 0.418 I
0.586 0.586 0.586 Br
```

Properties
E_form (uncorrected)   -1.069 eV per atom

(4)
The following is a DFT calculation (PBE) of a relaxed structure of Ac8Ir3I4Br.

```
Ac8Ir3I4Br
1.0
7.798 -4.500 0.000
7.798 4.500 0.000
-5.208 0.000 8.621
Ac Ir I Br
8 3 4 1
direct
0.199 0.746 0.690 Ac
0.228 0.228 0.682 Ac
0.254 0.254 0.310 Ac
0.254 0.801 0.310 Ac
0.746 0.199 0.690 Ac
0.746 0.746 0.690 Ac
0.772 0.772 0.318 Ac
0.801 0.254 0.310 Ac
0.000 0.000 0.500 Ir
0.000 0.500 0.500 Ir
0.500 0.000 0.500 Ir
0.000 0.000 0.000 I
0.000 0.500 0.000 I
0.500 0.000 0.000 I
0.500 0.500 0.000 I
0.500 0.500 0.500 Br
```

Properties
E_form (uncorrected)   -1.042 eV per atom